Arrangement A

A plane-wave DFT calculation with PBE-GGA was carried out for Er2AlH after structural relaxation.

The structure in POSCAR format:
```
Er2AlH
1.0
-1.7092 2.9220 -0.8031
-5.9815 -3.7990 -1.0919
-1.6304 0.7674 6.2618
Er Al H
4 2 2
Cartesian
-6.0568 -0.9415 1.9290
-3.2643 0.8319 2.4377
-2.4493 0.4483 -0.6922
-6.8718 -0.5579 5.0589
-6.3885 -3.6068 0.4736
-1.2234 0.5752 4.6962
-4.2554 -0.2482 0.6175
-5.0658 0.1386 3.7492
```

Summary:
Density in g/cm³: 7.41
N(E_F) in states/eV/cell: 4.8

***

Arrangement B

A plane-wave DFT calculation with PBE-GGA was carried out for Er2AlH after structural relaxation.

The structure in POSCAR format:
```
Er2AlH
1.0
4.9205 0.0000 0.0000
2.4602 4.2613 0.0000
2.4602 1.4204 4.0271
H Al Er
1 1 2
Cartesian
4.9205 2.8408 2.0136
0.0000 0.0000 0.0000
7.3807 4.2613 3.0178
2.4602 1.4204 1.0093
```

Summary:
Density in g/cm³: 7.13
N(E_F) in states/eV/cell: 2.2

***

Stability ranking, top entry: arrangement A; the second entry is 0.245 eV/atom less favorable.

***

Arrangement A

A plane-wave DFT calculation with PBE-GGA was carried out for HoErAlHg after structural relaxation.

The structure in POSCAR format:
```
HoErAlHg
1.0
-3.2292 4.0264 0.3317
-2.9412 0.6162 4.2094
0.9956 3.8476 3.3098
Ho Al Hg Er
1 1 1 1
Cartesian
-2.5874 4.2451 3.9254
-1.2937 2.1225 1.9627
-3.8811 6.3676 5.8882
0.0000 0.0000 0.0000
```

Summary:
Density in g/cm³: 9.50
N(E_F) in states/eV/cell: 4.3

***

Arrangement B

A plane-wave DFT calculation with PBE-GGA was carried out for HoErAlHg after structural relaxation.

The structure in POSCAR format:
```
HoErAlHg
1.0
3.5920 0.0000 0.0000
0.0000 3.5920 0.0000
0.0000 0.0000 7.4886
Ho Er Al Hg
1 1 1 1
Cartesian
0.0000 0.0000 6.3410
0.0000 0.0000 2.7425
1.7960 1.7960 4.5336
1.7960 1.7960 0.8206
```

Summary:
Density in g/cm³: 9.62
N(E_F) in states/eV/cell: 2.8

***

Stability ranking, top entry: arrangement B; the second entry is 0.033 eV/atom less favorable.